# 1
# La4Ce3UP8

A relaxed La4Ce3UP8 crystal (GGA-PBE, the Alexandria database).

Cell: 8.301 8.334 8.301 Å, 119.87 120.00 90.00°
Positions (direct):
La (0.000, 0.000, 0.000)
La (0.000, 0.000, 0.500)
La (0.500, 0.000, 0.500)
La (0.500, 0.000, 0.000)
P (0.745, 0.736, 0.491)
P (0.249, 0.267, 0.008)
P (0.255, 0.264, 0.509)
P (0.241, 0.733, 0.481)
P (0.751, 0.733, 0.992)
P (0.241, 0.733, 0.992)
P (0.759, 0.267, 0.519)
P (0.759, 0.267, 0.008)
Ce (0.500, 0.500, 0.500)
Ce (0.000, 0.500, 0.500)
Ce (0.500, 0.500, 0.000)
U (0.000, 0.500, 0.000)

Calculated values
- Space group: No. 166
- Magnetic moment: 3.77 μB/cell
- Energy relative to the elements: -1.457 eV/atom



# 2
# CrTe2I

A relaxed CrTe2I crystal (GGA-PBE, the Alexandria database).

Cell: 12.632 3.468 3.468 Å, 120.04 114.29 65.71°
Positions (direct):
Cr (0.500, 0.500, 0.500)
Te (0.344, 0.988, 0.012)
Te (0.656, 0.012, 0.988)
I (0.000, 0.000, 0.000)

Calculated values
- Formation energy from raw total energies: 0.053 eV/atom
- Space group: No. 164
- Magnetic moment: 0.00 μB/cell



# 3
# Sc2ReAu

A relaxed Sc2ReAu crystal (GGA-PBE, the Alexandria database).

Cell: 3.282 3.331 7.492 Å, 63.61 90.00 90.00°
Positions (direct):
Sc (0.000, 0.482, 0.520)
Sc (0.000, 0.018, 0.980)
Au (0.500, 0.250, 0.250)
Re (0.500, 0.750, 0.750)

Calculated values
- Space group: No. 10
- Magnetic moment: 0.00 μB/cell
- Energy relative to the elements: -0.442 eV/atom



# 4
# TlCr5

A relaxed TlCr5 crystal (GGA-PBE, the Alexandria database).

Cell: 4.913 4.913 4.044 Å, 90.00 90.00 120.00°
Positions (direct):
Cr (0.500, 0.000, 0.500)
Cr (0.667, 0.333, 0.000)
Cr (0.500, 0.500, 0.500)
Cr (0.000, 0.500, 0.500)
Cr (0.333, 0.667, 0.000)
Tl (0.000, 0.000, 0.000)

Calculated values
- Space group: No. 191
- Magnetic moment: 0.00 μB/cell
- Energy relative to the elements: 0.598 eV/atom